A geometry-optimized NpZnFe2O6 structure, computed with GGA+U.

Values from the calculation:
**Raw total energy**: -7.44 eV/atom
**Spin magnetization**: 0.700 μB per atom
**Space-group type**: No. 1
**Crystal system**: triclinic

Unit cell a=5.4178 b=5.3582 c=5.7544 alpha=61.84 beta=62.12 gamma=59.86
Sites, in units of the cell vectors:
O (0.2274, 0.9327, 0.2570)
O (0.4206, 0.7061, 0.7617)
O (0.7105, 0.1079, 0.7509)
O (0.6001, 0.2172, 0.2548)
O (0.1003, 0.4155, 0.7665)
O (0.9354, 0.6086, 0.2483)
Fe (0.0014, 0.0266, 0.9491)
Fe (0.5291, 0.5220, 0.4238)
Zn (0.8118, 0.8052, 0.5682)
Np (0.3250, 0.3198, 0.0348)